{
  "formula": "Dy7HgS5",
  "functional": "PBE-GGA",
  "state": "optimized geometry",
  "lattice": [[-0.357, -1.029, -3.778], [-4.186, -3.966, 3.534], [-17.210, 15.788, -2.674]],
  "species": ["Dy", "Dy", "Dy", "Dy", "Dy", "Dy", "Dy", "Dy", "Dy", "Dy", "Dy", "Dy", "Dy", "Dy", "Hg", "Hg", "S", "S", "S", "S", "S", "S", "S", "S", "S", "S"],
  "frac_coords": [[0.477, 0.955, 0.250], [0.523, 0.046, 0.750], [0.637, 0.273, 0.036], [0.364, 0.729, 0.964], [0.364, 0.729, 0.536], [0.637, 0.273, 0.464], [0.178, 0.356, 0.173], [0.822, 0.645, 0.827], [0.823, 0.645, 0.673], [0.178, 0.356, 0.327], [0.909, 0.818, 0.108], [0.092, 0.183, 0.892], [0.092, 0.183, 0.608], [0.909, 0.818, 0.392], [0.797, 0.593, 0.250], [0.203, 0.408, 0.750], [0.000, 0.001, 0.000], [0.727, 0.455, 0.930], [0.273, 0.547, 0.070], [0.544, 0.089, 0.360], [0.456, 0.912, 0.640], [0.000, 0.001, 0.500], [0.273, 0.546, 0.430], [0.727, 0.455, 0.570], [0.456, 0.912, 0.860], [0.544, 0.089, 0.140]],
  "m_tot_mub_per_cell": 0.000,
  "formation_energy_uncorrected_ev_per_atom": -1.638
}

{
  "formula": "ZnCrFeRh",
  "functional": "PBE-GGA",
  "state": "optimized geometry",
  "lattice": [[4.221, 0.000, 0.000], [2.110, 3.655, 0.000], [2.110, 1.218, 3.446]],
  "species": ["Cr", "Zn", "Rh", "Fe"],
  "frac_coords": [[0.500, 0.500, 0.500], [0.750, 0.750, 0.750], [0.000, 0.000, 0.000], [0.250, 0.250, 0.250]],
  "ef_ev_per_atom": -0.03,
  "m_tot_mub_per_cell": 1.048
}

{
  "formula": "DySiPd2",
  "functional": "PBE-GGA",
  "state": "optimized geometry",
  "lattice": [[-3.094, -2.523, 0.647], [2.152, -2.787, -0.576], [1.228, -0.144, 5.306]],
  "species": ["Dy", "Si", "Pd", "Pd"],
  "frac_coords": [[0.500, 0.500, 0.000], [0.500, 0.000, 0.500], [0.000, 0.000, 0.251], [0.000, 0.000, 0.749]],
  "m_tot_mub_per_cell": 0.000,
  "formation_energy_uncorrected_ev_per_atom": -0.695
}

{
  "formula": "LaN",
  "functional": "PBE-GGA",
  "state": "optimized geometry",
  "lattice": [[6.921, 0.000, 0.000], [0.000, 6.921, 0.000], [0.000, 0.000, 6.921]],
  "species": ["La", "La", "La", "La", "La", "La", "N", "N", "N", "N", "N", "N"],
  "frac_coords": [[0.250, 0.000, 0.500], [0.750, 0.000, 0.500], [0.000, 0.500, 0.250], [0.000, 0.500, 0.750], [0.500, 0.250, 0.000], [0.500, 0.750, 0.000], [0.250, 0.500, 0.000], [0.750, 0.500, 0.000], [0.500, 0.000, 0.250], [0.500, 0.000, 0.750], [0.000, 0.250, 0.500], [0.000, 0.750, 0.500]],
  "m_tot_mub_per_cell": 0.000,
  "formation_energy_uncorrected_ev_per_atom": -1.158
}

{
  "formula": "CsNaHg6",
  "functional": "PBE-GGA",
  "state": "optimized geometry",
  "lattice": [[6.421, 0.000, 0.000], [0.000, 6.421, 0.000], [0.000, 0.000, 6.421]],
  "species": ["Cs", "Na", "Hg", "Hg", "Hg", "Hg", "Hg", "Hg"],
  "frac_coords": [[0.500, 0.500, 0.500], [0.000, 0.000, 0.000], [0.500, 0.767, 0.000], [0.767, 0.000, 0.500], [0.000, 0.500, 0.233], [0.233, 0.000, 0.500], [0.500, 0.233, 0.000], [0.000, 0.500, 0.767]],
  "ef_ev_per_atom": -0.14,
  "m_tot_mub_per_cell": 0.000
}

{
  "formula": "Li2RhCl",
  "functional": "PBE-GGA",
  "state": "optimized geometry",
  "lattice": [[4.328, 0.000, 0.000], [2.164, 3.748, 0.000], [2.164, 1.249, 3.534]],
  "species": ["Cl", "Li", "Li", "Rh"],
  "frac_coords": [[0.500, 0.500, 0.500], [0.000, 0.000, 0.000], [0.250, 0.250, 0.250], [0.750, 0.750, 0.750]],
  "m_tot_mub_per_cell": 0.000,
  "formation_energy_uncorrected_ev_per_atom": -0.090
}

{
  "formula": "Ba2LiNd",
  "functional": "PBE-GGA",
  "state": "optimized geometry",
  "lattice": [[3.862, 0.000, 0.000], [1.931, 3.345, 0.000], [1.931, 1.115, 13.382]],
  "species": ["Nd", "Ba", "Ba", "Li"],
  "frac_coords": [[0.000, 0.000, 0.000], [0.091, 0.091, 0.726], [0.909, 0.909, 0.274], [0.500, 0.500, 0.500]],
  "ef_ev_per_atom": 0.34,
  "m_tot_mub_per_cell": 0.489
}

{
  "formula": "DyPdO2",
  "functional": "PBE-GGA",
  "state": "optimized geometry",
  "lattice": [[3.489, 0.000, 0.000], [1.745, 3.022, 0.000], [1.745, 1.007, 6.157]],
  "species": ["O", "O", "Pd", "Dy"],
  "frac_coords": [[0.110, 0.110, 0.671], [0.890, 0.890, 0.329], [0.000, 0.000, 0.000], [0.500, 0.500, 0.500]],
  "m_tot_mub_per_cell": 0.000,
  "formation_energy_uncorrected_ev_per_atom": -2.150
}

| no. | VASP energy (eV/atom) |
| --- | --- |
| 1 | -5.73 |
| 2 | -6.71 |
| 3 | -5.80 |
| 4 | -7.78 |
| 5 | -0.63 |
| 6 | -3.35 |
| 7 | -2.29 |
| 8 | -7.08 |